No. 1
Here is DyZnNi after structural relaxation from OQMD. Energies are from PBE.

a b c (Å): 7.7543 7.7543 3.1439
angles (deg): 90.00 90.00 120.00
Fractional positions:
Dy 0.0000 0.2947 0.0000
Dy 0.2947 0.0000 0.0000
Dy 0.7053 0.7053 0.0000
Ni 0.0000 0.6283 0.5000
Ni 0.3717 0.3717 0.5000
Ni 0.6283 0.0000 0.5000
Zn 0.6667 0.3333 0.0000
Zn 0.0000 0.0000 0.5000
Zn 0.3333 0.6667 0.0000

The final energy is -3.845 eV per atom. For the calculated formation energy, the calculation gives -0.0340 eV/atom.

=====

No. 2
Here is LuNiSn2 after structural relaxation from OQMD. Energies are from PBE.

a b c (Å): 16.0635 4.3964 14.4529
angles (deg): 90.00 90.00 90.00
Fractional positions:
Ni 0.4466 0.2500 0.3921
Ni 0.3083 0.7500 0.7562
Ni 0.6917 0.2500 0.2438
Ni 0.2999 0.7500 0.0450
Ni 0.7001 0.2500 0.9550
Ni 0.1917 0.2500 0.2562
Ni 0.5534 0.7500 0.6079
Ni 0.7999 0.7500 0.4550
Ni 0.0534 0.7500 0.8921
Ni 0.8083 0.7500 0.7438
Ni 0.9466 0.2500 0.1079
Ni 0.2001 0.2500 0.5450
Sn 0.1836 0.7500 0.1770
Sn 0.2145 0.7500 0.8952
Sn 0.3164 0.2500 0.6770
Sn 0.4701 0.7500 0.7660
Sn 0.9578 0.7500 0.4467
Sn 0.4578 0.7500 0.0533
Sn 0.1749 0.7500 0.6324
Sn 0.0211 0.7500 0.0779
Sn 0.8251 0.2500 0.3676
Sn 0.7855 0.2500 0.1048
Sn 0.9701 0.7500 0.7340
Sn 0.2855 0.2500 0.3952
Sn 0.3251 0.2500 0.1324
Sn 0.5211 0.7500 0.4221
Sn 0.7145 0.7500 0.6048
Sn 0.5299 0.2500 0.2340
Sn 0.9789 0.2500 0.9221
Sn 0.0299 0.2500 0.2660
Sn 0.6836 0.7500 0.3230
Sn 0.8164 0.2500 0.8230
Sn 0.5422 0.2500 0.9467
Sn 0.0422 0.2500 0.5533
Sn 0.4789 0.2500 0.5779
Sn 0.6749 0.7500 0.8676
Lu 0.3528 0.2500 0.8977
Lu 0.8528 0.2500 0.6023
Lu 0.8739 0.7500 0.2252
Lu 0.6472 0.7500 0.1023
Lu 0.3484 0.7500 0.5273
Lu 0.6516 0.2500 0.4727
Lu 0.1472 0.7500 0.3977
Lu 0.1261 0.2500 0.7748
Lu 0.6261 0.2500 0.7252
Lu 0.8484 0.7500 0.9727
Lu 0.1516 0.2500 0.0273
Lu 0.3739 0.7500 0.2748

The final energy is -5.042 eV per atom.

=====

No. 3
Here is SrOsPb2 after structural relaxation from OQMD. Energies are from PBE.

a b c (Å): 5.2475 5.2475 5.2475
angles (deg): 60.00 60.00 60.00
Fractional positions:
Sr 0.7500 0.7500 0.7500
Pb 0.0000 0.0000 0.0000
Pb 0.2500 0.2500 0.2500
Os 0.5000 0.5000 0.5000

The final energy is -4.460 eV per atom.

=====

No. 4
Here is Dy3Al3GePd2 after structural relaxation from OQMD. Energies are from PBE.

a b c (Å): 7.4332 7.4332 3.8359
angles (deg): 90.00 90.00 120.00
Fractional positions:
Pd 0.3333 0.6667 0.5000
Pd 0.6667 0.3333 0.5000
Al 0.0000 0.2620 0.5000
Al 0.2620 0.0000 0.5000
Al 0.7380 0.7380 0.5000
Ge 0.0000 0.0000 0.0000
Dy 0.6000 0.0000 0.0000
Dy 0.4000 0.4000 0.0000
Dy 0.0000 0.6000 0.0000

The final energy is -5.193 eV per atom. The calculation puts the distance to the lowest polymorph of the same formula at 0.000 eV per atom.

=====

Look up the final energy of the second one. -5.042 eV per atom